A plane-wave DFT calculation with PBEsol was carried out for SrMg after structural relaxation.

Unit cell a=4.016 b=5.942 c=11.889 alpha=90.00 beta=90.00 gamma=90.00
Fractional positions:
Sr (0.000, 0.250, 0.104)
Sr (0.000, 0.750, 0.896)
Sr (0.500, 0.250, 0.396)
Sr (0.500, 0.750, 0.604)
Mg (0.000, 0.250, 0.653)
Mg (0.000, 0.750, 0.347)
Mg (0.500, 0.250, 0.847)
Mg (0.500, 0.750, 0.153)



A plane-wave DFT calculation with PBEsol was carried out for SrMg after structural relaxation.

Unit cell a=3.908 b=3.908 c=11.354 alpha=90.00 beta=90.00 gamma=120.00
Fractional positions:
Sr (0.333, 0.667, 0.345)
Sr (0.667, 0.333, 0.655)
Mg (0.333, 0.667, 0.902)
Mg (0.667, 0.333, 0.098)



A plane-wave DFT calculation with PBEsol was carried out for Sr3Mg after structural relaxation.

Unit cell a=7.875 b=7.875 c=6.371 alpha=90.00 beta=90.00 gamma=120.00
Fractional positions:
Sr (0.171, 0.342, 0.250)
Sr (0.171, 0.829, 0.250)
Sr (0.342, 0.171, 0.750)
Sr (0.658, 0.829, 0.250)
Sr (0.829, 0.171, 0.750)
Sr (0.829, 0.658, 0.750)
Mg (0.333, 0.667, 0.750)
Mg (0.667, 0.333, 0.250)



A plane-wave DFT calculation with PBEsol was carried out for Sr3Mg4 after structural relaxation.

Unit cell a=3.903 b=3.903 c=31.184 alpha=90.00 beta=90.00 gamma=90.00
Fractional positions:
Sr (0.000, 0.000, 0.000)
Sr (0.000, 0.000, 0.303)
Sr (0.000, 0.000, 0.697)
Sr (0.500, 0.500, 0.197)
Sr (0.500, 0.500, 0.500)
Sr (0.500, 0.500, 0.803)
Mg (0.000, 0.000, 0.122)
Mg (0.000, 0.000, 0.425)
Mg (0.000, 0.000, 0.575)
Mg (0.000, 0.000, 0.878)
Mg (0.500, 0.500, 0.075)
Mg (0.500, 0.500, 0.378)
Mg (0.500, 0.500, 0.622)
Mg (0.500, 0.500, 0.925)



A plane-wave DFT calculation with PBEsol was carried out for Sr4Mg after structural relaxation.

Unit cell a=10.387 b=10.387 c=4.243 alpha=90.00 beta=90.00 gamma=90.00
Fractional positions:
Sr (0.077, 0.269, 0.000)
Sr (0.231, 0.577, 0.500)
Sr (0.269, 0.923, 0.000)
Sr (0.423, 0.231, 0.500)
Sr (0.577, 0.769, 0.500)
Sr (0.731, 0.077, 0.000)
Sr (0.769, 0.423, 0.500)
Sr (0.923, 0.731, 0.000)
Mg (0.000, 0.000, 0.500)
Mg (0.500, 0.500, 0.000)

Computed properties:
The energy above the most stable polymorph in this dataset comes out at 0.000 eV per atom.



A plane-wave DFT calculation with PBEsol was carried out for SrMg after structural relaxation.

Unit cell a=7.738 b=7.738 c=7.738 alpha=90.00 beta=90.00 gamma=90.00
Fractional positions:
Sr (0.000, 0.000, 0.000)
Sr (0.000, 0.500, 0.500)
Sr (0.500, 0.000, 0.500)
Sr (0.500, 0.500, 0.000)
Mg (0.250, 0.250, 0.750)
Mg (0.250, 0.750, 0.250)
Mg (0.750, 0.250, 0.250)
Mg (0.750, 0.750, 0.750)



A plane-wave DFT calculation with PBEsol was carried out for SrMg after structural relaxation.

Unit cell a=3.980 b=3.980 c=9.158 alpha=90.00 beta=90.00 gamma=90.00
Fractional positions:
Sr (0.250, 0.250, 0.175)
Sr (0.750, 0.750, 0.825)
Mg (0.250, 0.250, 0.580)
Mg (0.750, 0.750, 0.420)



A plane-wave DFT calculation with PBEsol was carried out for Sr3Mg after structural relaxation.

Unit cell a=8.772 b=8.772 c=8.772 alpha=90.00 beta=90.00 gamma=90.00
Fractional positions:
Sr (0.000, 0.000, 0.000)
Sr (0.000, 0.500, 0.500)
Sr (0.250, 0.250, 0.250)
Sr (0.250, 0.250, 0.750)
Sr (0.250, 0.750, 0.250)
Sr (0.250, 0.750, 0.750)
Sr (0.500, 0.000, 0.500)
Sr (0.500, 0.500, 0.000)
Sr (0.750, 0.250, 0.250)
Sr (0.750, 0.250, 0.750)
Sr (0.750, 0.750, 0.250)
Sr (0.750, 0.750, 0.750)
Mg (0.000, 0.000, 0.500)
Mg (0.000, 0.500, 0.000)
Mg (0.500, 0.000, 0.000)
Mg (0.500, 0.500, 0.500)



A plane-wave DFT calculation with PBEsol was carried out for SrMg5 after structural relaxation.

Unit cell a=6.139 b=6.139 c=5.019 alpha=90.00 beta=90.00 gamma=120.00
Fractional positions:
Sr (0.000, 0.000, 0.000)
Mg (0.000, 0.500, 0.500)
Mg (0.333, 0.667, 0.000)
Mg (0.500, 0.000, 0.500)
Mg (0.500, 0.500, 0.500)
Mg (0.667, 0.333, 0.000)

Computed properties:
The energy above the most stable polymorph in this dataset comes out at 0.000 eV per atom.



A plane-wave DFT calculation with PBEsol was carried out for SrMg2Ta after structural relaxation.

Unit cell a=3.135 b=5.401 c=5.631 alpha=90.00 beta=90.00 gamma=90.00
Fractional positions:
Sr (0.000, 0.000, 0.000)
Mg (0.000, 0.500, 0.500)
Mg (0.500, 0.000, 0.500)
Ta (0.500, 0.500, 0.000)

Computed properties:
The energy above the most stable polymorph in this dataset comes out at 0.172 eV per atom.



A plane-wave DFT calculation with PBEsol was carried out for SrMg2Ta after structural relaxation.

Unit cell a=10.525 b=2.956 c=6.276 alpha=90.00 beta=95.75 gamma=90.00
Fractional positions:
Sr (0.000, 0.000, 0.000)
Sr (0.500, 0.500, 0.000)
Mg (0.241, 0.000, 0.704)
Mg (0.259, 0.500, 0.296)
Mg (0.741, 0.500, 0.704)
Mg (0.759, 0.000, 0.296)
Ta (0.000, 0.500, 0.500)
Ta (0.500, 0.000, 0.500)

Computed properties:
The energy above the most stable polymorph in this dataset comes out at 0.000 eV per atom.



A plane-wave DFT calculation with PBEsol was carried out for SrMg2Ta after structural relaxation.

Unit cell a=3.105 b=5.555 c=11.059 alpha=90.00 beta=90.00 gamma=90.00
Fractional positions:
Sr (0.000, 0.000, 0.000)
Sr (0.500, 0.500, 0.500)
Mg (0.000, 0.000, 0.493)
Mg (0.000, 0.500, 0.230)
Mg (0.500, 0.000, 0.730)
Mg (0.500, 0.500, 0.993)
Ta (0.000, 0.500, 0.772)
Ta (0.500, 0.000, 0.272)

Computed properties:
The energy above the most stable polymorph in this dataset comes out at 0.023 eV per atom.



Number 1: ΔE_f -0.028 eV/atom. Number 2: ΔE_f 0.139 eV/atom. Number 3: ΔE_f 0.023 eV/atom. Number 4: ΔE_f -0.015 eV/atom. Number 5: ΔE_f -0.002 eV/atom. Number 6: ΔE_f 0.733 eV/atom. Number 7: ΔE_f -0.011 eV/atom. Number 8: ΔE_f 0.042 eV/atom. Number 9: ΔE_f -0.048 eV/atom. Number 10: ΔE_f 0.765 eV/atom. Number 11: ΔE_f 0.593 eV/atom. Number 12: ΔE_f 0.616 eV/atom.